[1]
Below is CuPN3 after structural relaxation, with properties calculated at the PBE level.

Crystal system: cubic
ΔE_f (raw), eV/atom: 2.31
Space-group type: Pm-3m
Total magnetization, μB per formula unit: 0.00
D(E_F), states/eV per cell: 4.7

Cell: 3.7251 3.7251 3.7251 Å, 90.00 90.00 90.00°
Sites, in units of the cell vectors:
Cu: 0.0000 0.0000 0.0000
P: 0.5000 0.5000 0.5000
N: 0.0000 0.0000 0.5000
N: 0.0000 0.5000 0.0000
N: 0.5000 0.0000 0.0000

=====

[2]
Below is PaCuP2N6 after structural relaxation, with properties calculated at the PBE level.

Crystal system: monoclinic
ΔE_f (raw), eV/atom: -0.38
Space-group type: C2/c
Total magnetization, μB per formula unit: 0.00
D(E_F), states/eV per cell: 6.4

Cell: 7.0950 7.0950 5.4665 Å, 107.50 107.50 83.50°
Sites, in units of the cell vectors:
Pa: 0.1270 0.8730 0.7500
Pa: 0.8730 0.1270 0.2500
Cu: 0.2670 0.7330 0.2500
Cu: 0.7330 0.2670 0.7500
P: 0.2239 0.3717 0.8411
P: 0.3717 0.2239 0.3411
P: 0.6283 0.7761 0.6589
P: 0.7761 0.6283 0.1589
N: 0.0385 0.2165 0.6800
N: 0.1613 0.6057 0.8738
N: 0.2165 0.0385 0.1800
N: 0.3112 0.3762 0.1547
N: 0.3762 0.3112 0.6547
N: 0.3943 0.8387 0.6262
N: 0.6057 0.1613 0.3738
N: 0.6238 0.6888 0.3453
N: 0.6888 0.6238 0.8453
N: 0.7835 0.9615 0.8200
N: 0.8387 0.3943 0.1262
N: 0.9615 0.7835 0.3200

=====

Look up the total magnetization of the second one. 0.00 μB per formula unit

=====

Which value of total magnetization does entry 2 give? 0.00 μB per formula unit

=====

What is the ΔE_f (raw) in the first record? 2.31 eV/atom